1.
The following is a DFT calculation (PBE) of RbBa8Pt4 after structural relaxation.

Values from the calculation:
energy relative to the elements: -0.576 eV/atom

The structure in CIF format:
```
data_RbBa8Pt4
_space_group_name_H-M_alt 'I 4/m'
_space_group_IT_number 87
_space_group_name_Hall '-I 4'
_cell_length_a 16.343
_cell_length_b 16.343
_cell_length_c 4.709
_cell_angle_alpha 90.00
_cell_angle_beta 90.00
_cell_angle_gamma 90.00
loop_
_atom_site_label
_atom_site_fract_x
_atom_site_fract_y
_atom_site_fract_z
_atom_site_occupancy
Rb1 0.000 0.000 0.000 1
Ba1 0.040 0.663 0.000 1
Ba2 0.154 0.199 0.500 1
Pt1 0.155 0.329 0.000 1
```


2.
The following is a DFT calculation (PBE) of RbBa2Pt after structural relaxation.

Values from the calculation:
energy above the most stable polymorph in this dataset: 270 meV/atom
energy relative to the elements: -0.197 eV/atom

The structure in CIF format:
```
data_RbBa2Pt
_space_group_name_H-M_alt 'I -4 2 d'
_space_group_IT_number 122
_space_group_name_Hall 'I -4 2bw'
_cell_length_a 10.694
_cell_length_b 10.694
_cell_length_c 7.516
_cell_angle_alpha 90.00
_cell_angle_beta 90.00
_cell_angle_gamma 90.00
loop_
_atom_site_label
_atom_site_fract_x
_atom_site_fract_y
_atom_site_fract_z
_atom_site_occupancy
Rb1 0.000 0.000 0.000 1
Ba1 0.119 0.750 0.625 1
Pt1 0.000 0.000 0.500 1
```


3.
The following is a DFT calculation (PBE) of RbBa2Pt2 after structural relaxation.

Values from the calculation:
energy above the most stable polymorph in this dataset: 94 meV/atom
energy relative to the elements: -0.360 eV/atom

The structure in CIF format:
```
data_RbBa2Pt2
_space_group_name_H-M_alt 'I 4/m m m'
_space_group_IT_number 139
_space_group_name_Hall '-I 4 2'
_cell_length_a 5.520
_cell_length_b 5.520
_cell_length_c 12.060
_cell_angle_alpha 90.00
_cell_angle_beta 90.00
_cell_angle_gamma 90.00
loop_
_atom_site_label
_atom_site_fract_x
_atom_site_fract_y
_atom_site_fract_z
_atom_site_occupancy
Rb1 0.000 0.000 0.000 1
Ba1 0.000 0.500 0.250 1
Pt1 0.000 0.000 0.388 1
```


D(E_F) readings, ordered: 16.47 17.90 8.29 states/eV per cell
Total moment readings, ordered: 0.00 0.00 0.00 Bohr magnetons per cell
E readings, ordered: -3.6926 -2.9105 -3.7387 eV/atom